[1]
Entry from Alexandria via LeMat-Bulk: an optimized crystal structure of BaMgW2 (GGA-PBE).

Cell and atoms, written as CIF:
```
data_BaMgW2
_cell_length_a 2.894
_cell_length_b 5.293
_cell_length_c 5.582
_cell_angle_alpha 90.00
_cell_angle_beta 90.00
_cell_angle_gamma 90.00
_space_group_name_H-M_alt 'P m m m'
_space_group_IT_number 47
loop_
_space_group_symop_operation_xyz
'x,y,z'
'-x,-y,-z'
'-x,-y,z'
'x,y,-z'
'x,-y,-z'
'-x,y,z'
'-x,y,-z'
'x,-y,z'
loop_
_atom_site_label
_atom_site_type_symbol
_atom_site_fract_x
_atom_site_fract_y
_atom_site_fract_z
Ba1 Ba 0.000 0.000 0.000
Mg1 Mg 0.500 0.500 0.000
W1 W 0.000 0.500 0.500
W2 W 0.500 0.000 0.500
```

Properties
The uncorrected energy comes out at -24.121 eV/cell.

[2]
Entry from Alexandria via LeMat-Bulk: an optimized crystal structure of Li2AcP (GGA-PBE).

Cell and atoms, written as CIF:
```
data_Li2AcP
_cell_length_a 6.716
_cell_length_b 6.716
_cell_length_c 6.716
_cell_angle_alpha 90.00
_cell_angle_beta 90.00
_cell_angle_gamma 90.00
_space_group_name_H-M_alt 'F m -3 m'
_space_group_IT_number 225
_space_group_name_Hall '-F 4 2 3'
loop_
_atom_site_label
_atom_site_type_symbol
_atom_site_fract_x
_atom_site_fract_y
_atom_site_fract_z
Li1 Li 0.250 0.250 0.250
Ac1 Ac 0.000 0.000 0.000
P1 P 0.000 0.000 0.500
```

Properties
The uncorrected energy comes out at -57.314 eV/cell.

[3]
Entry from Alexandria via LeMat-Bulk: an optimized crystal structure of NdDyBr6 (GGA-PBE).

Cell and atoms, written as CIF:
```
data_NdDyBr6
_cell_length_a 7.093
_cell_length_b 13.401
_cell_length_c 7.089
_cell_angle_alpha 90.00
_cell_angle_beta 106.79
_cell_angle_gamma 90.00
_space_group_name_H-M_alt 'C 1 2/m 1'
_space_group_IT_number 12
loop_
_space_group_symop_operation_xyz
'x,y,z'
'-x,-y,-z'
'-x,y,-z'
'x,-y,z'
'x+1/2,y+1/2,z'
'-x+1/2,-y+1/2,-z'
'-x+1/2,y+1/2,-z'
'x+1/2,-y+1/2,z'
loop_
_atom_site_label
_atom_site_type_symbol
_atom_site_fract_x
_atom_site_fract_y
_atom_site_fract_z
Nd1 Nd 0.000 0.000 0.000
Dy1 Dy 0.000 0.500 0.500
Br1 Br 0.241 0.355 0.743
Br2 Br 0.246 0.500 0.254
```

Properties
The uncorrected energy comes out at -68.260 eV/cell. The raw formation energy comes out at -1.840 eV/atom.

[4]
Entry from Alexandria via LeMat-Bulk: an optimized crystal structure of YZn2Rh (GGA-PBE).

Cell and atoms, written as CIF:
```
data_YZn2Rh
_cell_length_a 6.528
_cell_length_b 6.528
_cell_length_c 6.528
_cell_angle_alpha 90.00
_cell_angle_beta 90.00
_cell_angle_gamma 90.00
_space_group_name_H-M_alt 'F m -3 m'
_space_group_IT_number 225
_space_group_name_Hall '-F 4 2 3'
loop_
_atom_site_label
_atom_site_type_symbol
_atom_site_fract_x
_atom_site_fract_y
_atom_site_fract_z
Y1 Y 0.000 0.000 0.000
Zn1 Zn 0.250 0.250 0.250
Rh1 Rh 0.000 0.000 0.500
```

Properties
The uncorrected energy comes out at -71.934 eV/cell.